1.
BaBiAu | PBE | optimized geometry

Computed properties:
- ΔE_f: -215 kJ/mol of formula units
- Magnetization: 0.00 μB per formula unit
- Crystal system: monoclinic
- Total energy: -0.2771 Ry/atom
- Space group: No. 9

a b c (Å): 4.8957 4.8957 9.2970
angles (deg): 105.22 105.22 89.97
With the nearest neighbours (Å) after each atom.
Fractional positions:
Ba 0.1240 0.8760 0.5000  6 Au 3.73-3.79, 6 Bi 3.74-3.78
Ba 0.8760 0.1240 0.0000  6 Au 3.73-3.79, 6 Bi 3.74-3.78
Bi 0.4609 0.7071 0.1672  3 Au 2.84-2.87
Bi 0.7071 0.4609 0.6672  3 Au 2.84-2.87
Au 0.2908 0.5417 0.8350  3 Bi 2.84-2.87
Au 0.5417 0.2908 0.3350  3 Bi 2.84-2.87

***

2.
Sr5PaS8 | PBE | optimized geometry

Computed properties:
- Magnetization: 1.00 μB per formula unit
- Crystal system: tetragonal
- Energy relative to the elements, uncorrected: -1.835 eV per atom
- Total energy: -0.4022 Ry/atom
- Space group: No. 82

a b c (Å): 7.6304 7.6304 7.6304
angles (deg): 109.60 109.60 109.21
With the nearest neighbours (Å) after each atom.
Fractional positions:
Sr 0.0000 0.0000 0.0000  8 S 3.03-3.24
Sr 0.2479 0.1198 0.6308  8 S 2.93-3.28
Sr 0.3829 0.7521 0.8719  8 S 2.93-3.28
Sr 0.4890 0.6171 0.3692  8 S 2.93-3.28
Sr 0.8802 0.5110 0.1281  8 S 2.93-3.28
Pa 0.7500 0.2500 0.5000  8 S 2.75-2.93
S 0.0963 0.3686 0.4004  5 Sr 2.93-3.22, 1 Pa 2.93, 2 S 3.09-3.17
S 0.0990 0.3707 0.8714  1 Pa 2.75, 2 Sr 2.97-3.00
S 0.3041 0.9037 0.2723  5 Sr 2.93-3.22, 1 Pa 2.93, 2 S 3.09-3.17
S 0.4994 0.2277 0.1286  1 Pa 2.75, 2 Sr 2.97-3.00
S 0.6293 0.5006 0.7283  1 Pa 2.75, 2 Sr 2.97-3.00
S 0.6314 0.0318 0.7277  5 Sr 2.93-3.22, 1 Pa 2.93, 2 S 3.09-3.17
S 0.7723 0.9010 0.2717  1 Pa 2.75, 2 Sr 2.97-3.00
S 0.9682 0.6959 0.5996  5 Sr 2.93-3.22, 1 Pa 2.93, 2 S 3.09-3.17

***

3.
NaCdTeO4 | PBE | optimized geometry

Computed properties:
- Magnetization: 0.00 μB per formula unit
- Crystal system: orthorhombic
- Energy relative to the elements, uncorrected: -1.115 eV per atom
- Total energy: -0.3466 Ry/atom
- Space group: No. 74

a b c (Å): 6.5794 6.5794 6.5794
angles (deg): 119.15 118.39 92.15
With the nearest neighbours (Å) after each atom.
Fractional positions:
Na 0.0000 0.0000 0.0000  6 O 2.38-2.47
Na 0.5000 0.0000 0.5000  6 O 2.38-2.47
Cd 0.5000 0.0000 0.0000  6 O 2.31-2.41
Cd 0.5000 0.5000 0.5000  6 O 2.31-2.41
Te 0.1135 0.3635 0.7500  4 O 1.90-2.01
Te 0.8865 0.6365 0.2500  4 O 1.90-2.01
O 0.2362 0.2568 0.5206  1 Te 1.90
O 0.2362 0.7156 0.9794  1 Te 1.90
O 0.2529 0.7399 0.5129  1 Te 2.01
O 0.2730 0.2601 0.0129  1 Te 2.01
O 0.7270 0.7399 0.9871  1 Te 2.01
O 0.7471 0.2601 0.4871  1 Te 2.01
O 0.7638 0.2844 0.0206  1 Te 1.90
O 0.7638 0.7432 0.4794  1 Te 1.90

***

4.
PmEr2Mg8 | PBE | optimized geometry

Computed properties:
- ΔE_f: 64 kJ/mol of formula units
- Magnetization: 0.00 μB per formula unit
- Crystal system: orthorhombic
- Total energy: -0.1735 Ry/atom
- Space group: No. 71

a b c (Å): 8.4531 8.4531 8.4531
angles (deg): 143.32 124.82 68.10
With the nearest neighbours (Å) after each atom.
Fractional positions:
Pm 0.0000 0.0000 0.0000  8 Mg 3.10-3.43
Er 0.2886 0.2886 0.0000  10 Mg 3.22-3.36
Er 0.7114 0.7114 0.0000  10 Mg 3.22-3.36
Mg 0.1546 0.6546 0.5000  4 Mg 3.17-3.27, 2 Er 3.26, 2 Pm 3.43
Mg 0.1738 0.8631 0.3108  4 Mg 2.96-3.28, 1 Pm 3.10, 3 Er 3.22-3.23
Mg 0.2961 0.5000 0.7961  7 Mg 3.17-3.28, 2 Er 3.36, 2 Pm 3.53
Mg 0.4477 0.1369 0.3108  4 Mg 2.96-3.28, 1 Pm 3.10, 3 Er 3.22-3.23
Mg 0.5523 0.8631 0.6892  4 Mg 2.96-3.28, 1 Pm 3.10, 3 Er 3.22-3.23
Mg 0.7039 0.5000 0.2039  7 Mg 3.17-3.28, 2 Er 3.36, 2 Pm 3.53
Mg 0.8262 0.1369 0.6892  4 Mg 2.96-3.28, 1 Pm 3.10, 3 Er 3.22-3.23
Mg 0.8454 0.3454 0.5000  4 Mg 3.17-3.27, 2 Er 3.26, 2 Pm 3.43

***

5.
Zr2SeCl | PBE | optimized geometry

Computed properties:
- Magnetization: 0.00 μB per formula unit
- Crystal system: monoclinic
- Energy relative to the elements, uncorrected: -0.802 eV per atom
- Total energy: -0.4711 Ry/atom
- Energy above the lowest structure with this stoichiometry: 176 meV/atom
- Space group: No. 6

a b c (Å): 3.3024 4.9945 5.1426
angles (deg): 90.00 108.66 90.00
With the nearest neighbours (Å) after each atom.
Fractional positions:
Zr 0.0000 0.0000 0.0000  2 Cl 2.52, 3 Se 2.65-2.77
Zr 0.3084 0.5000 0.6202  3 Cl 2.69-2.74
Se 0.7279 0.0000 0.4551  3 Zr 2.65-2.77
Cl 0.0320 0.5000 0.0686  5 Zr 2.52-2.74

***

6.
Cr2PRh | PBE | optimized geometry

Computed properties:
- ΔE_f: -72 kJ/mol of formula units
- Magnetization: 0.14 μB per formula unit
- Crystal system: tetragonal
- Total energy: -0.6018 Ry/atom
- Space group: No. 119

a b c (Å): 4.5691 4.5691 4.5691
angles (deg): 132.38 132.38 69.63
With the nearest neighbours (Å) after each atom.
Fractional positions:
Cr 0.0000 0.0000 0.0000  4 Rh 2.61, 4 Cr 2.63, 4 P 2.63
Cr 0.7500 0.2500 0.5000  4 P 2.61, 4 Cr 2.63, 4 Rh 2.63
P 0.2500 0.7500 0.5000  8 Cr 2.61-2.63, 4 Rh 2.63
Rh 0.5000 0.5000 0.0000  8 Cr 2.61-2.63, 4 P 2.63